Compound: KCrCo2
Source: Alexandria via LeMat-Bulk
Functional: GGA-PBE
Structure: relaxed

POSCAR file:
```
KCrCo2
1.0
3.9969 0.0000 0.0000
0.0000 2.6976 0.2109
0.0000 0.6886 7.1364
Co Cr K
2 1 1
direct
0.0000 0.1349 0.1021
0.5000 0.0623 0.2640
0.0000 0.5104 0.3740
0.5000 0.7924 0.7598
```

Values from the calculation:
symmetry	Pm

***

Compound: KCrCo2
Source: Alexandria via LeMat-Bulk
Functional: GGA-PBE
Structure: relaxed

POSCAR file:
```
KCrCo2
1.0
6.1810 0.0970 0.3090
-2.6559 4.5112 -0.3378
0.8692 0.7139 2.2731
Co Cr K
2 1 1
direct
0.0000 0.0000 0.0000
0.5000 0.0000 0.5000
0.0000 0.5000 0.5000
0.5000 0.5000 0.0000
```

Values from the calculation:
symmetry	C2/m

***

Compound: KCrCo2
Source: Alexandria via LeMat-Bulk
Functional: GGA-PBE
Structure: relaxed

POSCAR file:
```
KCrCo2
1.0
-2.7476 -2.5526 -1.4158
-0.9397 -3.2938 2.0824
-5.6338 1.1746 3.1604
Co Cr K
2 1 1
direct
0.0699 0.0699 0.7897
0.7386 0.7386 0.7837
0.4358 0.4358 0.6917
0.2557 0.2557 0.2348
```

Values from the calculation:
symmetry	Cm

***

Compound: KCrCo2
Source: Alexandria via LeMat-Bulk
Functional: GGA-PBE
Structure: relaxed

POSCAR file:
```
KCrCo2
1.0
-6.6164 -6.4033 2.3743
-6.1951 -7.2123 -0.1390
-4.6251 -8.1033 1.8332
Co Cr K
2 1 1
direct
0.9831 0.9831 0.9831
0.5169 0.5169 0.5169
0.2500 0.2500 0.2500
0.7500 0.7500 0.7500
```

Values from the calculation:
symmetry	R-3m

***

| no. | ΔE_f (eV per atom) |
| --- | --- |
| 1 | 0.868 |
| 2 | 1.302 |
| 3 | 0.764 |
| 4 | 0.878 |